(A)
First-principles (GGA-PBE) data for a geometry-optimized ZrCu2Mo structure, as listed in Alexandria.

extended XYZ file:
```
4
Lattice="9.545 -0.007 -0.004 9.140 2.749 -0.004 9.140 1.342 2.400" Properties=species:S:1:pos:R:3 pbc="T T T"
Cu 27.704 4.067 2.382
Cu 14.033 2.060 1.206
Mo 6.956 1.021 0.598
Zr 20.869 3.063 1.794
```

Output
Space group: No. 166
D(E_F) (states/eV/cell): 4.5

=====

(B)
First-principles (GGA-PBE) data for a geometry-optimized ZrCu2Mo structure, as listed in Alexandria.

extended XYZ file:
```
4
Lattice="-1.996 1.873 0.618 0.338 -0.501 2.740 5.446 5.682 0.367" Properties=species:S:1:pos:R:3 pbc="T T T"
Cu 0.182 0.190 0.012
Cu 0.441 2.011 1.765
Mo 2.544 2.654 0.171
Zr 3.344 5.040 1.960
```

Output
Space group: No. 35
D(E_F) (states/eV/cell): 3.9

=====

Which structure is most stable, and how do the rest compare? From most to least stable: (B), (A).

=====

(A)
First-principles (GGA-PBE) data for a geometry-optimized LiTe structure, as listed in Alexandria.

extended XYZ file:
```
4
Lattice="0.117 -7.240 -2.264 3.731 -7.317 0.530 -1.723 -1.381 2.191" Properties=species:S:1:pos:R:3 pbc="T T T"
Li 0.255 -6.513 -1.697
Li 0.736 -5.427 1.575
Te 1.439 -8.020 0.493
Te 3.282 -11.237 -0.085
```

Output
Space group: No. 12
D(E_F) (states/eV/cell): 1.2

=====

(B)
First-principles (GGA-PBE) data for a geometry-optimized LiTe structure, as listed in Alexandria.

extended XYZ file:
```
32
Lattice="9.010 0.000 0.000 0.000 16.344 0.000 0.000 0.000 8.136" Properties=species:S:1:pos:R:3 pbc="T T T"
Li 2.759 0.000 0.000
Li 6.251 0.000 0.000
Li 8.503 12.258 2.034
Li 5.011 12.258 2.034
Li 2.759 8.172 4.068
Li 6.251 8.172 4.068
Li 8.503 4.086 6.102
Li 5.011 4.086 6.102
Li 7.264 0.000 4.068
Li 1.746 0.000 4.068
Li 3.999 12.258 6.102
Li 0.506 12.258 6.102
Li 7.264 8.172 0.000
Li 1.746 8.172 0.000
Li 3.999 4.086 2.034
Li 0.506 4.086 2.034
Te 0.000 10.401 0.000
Te 0.000 5.943 0.000
Te 2.252 1.857 2.034
Te 2.252 6.315 2.034
Te 0.000 2.229 4.068
Te 0.000 14.116 4.068
Te 2.252 10.030 6.102
Te 2.252 14.487 6.102
Te 4.505 10.401 4.068
Te 4.505 5.943 4.068
Te 6.757 1.857 6.102
Te 6.757 6.315 6.102
Te 4.505 2.229 0.000
Te 4.505 14.116 0.000
Te 6.757 10.030 2.034
Te 6.757 14.487 2.034
```

Output
Space group: No. 70
D(E_F) (states/eV/cell): 17.6

=====

Which structure is most stable, and how do the rest compare? From most to least stable: (A), (B).

=====

(A)
First-principles (GGA-PBE) data for a geometry-optimized BeRhF structure, as listed in Alexandria.

extended XYZ file:
```
6
Lattice="2.748 0.000 0.000 -0.001 2.604 0.001 -0.006 -0.007 10.385" Properties=species:S:1:pos:R:3 pbc="T T T"
Be 1.586 0.863 1.057
Be 0.205 2.165 5.706
Rh 1.580 2.108 7.623
Rh 0.207 0.806 9.524
F 0.208 0.862 4.820
F 1.588 2.163 1.942
```

Output
Space group: No. 6
D(E_F) (states/eV/cell): 3.4

=====

(B)
First-principles (GGA-PBE) data for a geometry-optimized BeRhF structure, as listed in Alexandria.

extended XYZ file:
```
6
Lattice="-3.216 2.261 1.248 -0.607 -3.784 -1.525 0.391 -1.740 4.162" Properties=species:S:1:pos:R:3 pbc="T T T"
Be 0.000 0.000 0.000
Be 0.196 -0.870 2.081
Rh -1.183 -3.074 2.520
Rh -2.249 -0.189 1.364
F -1.379 -2.204 0.440
F -2.053 -1.059 3.445
```

Output
Space group: No. 194
D(E_F) (states/eV/cell): 3.7

=====

Which structure is most stable, and how do the rest compare? From most to least stable: (A), (B).

=====

(A)
First-principles (GGA-PBE) data for a geometry-optimized CrCoRe2 structure, as listed in Alexandria.

extended XYZ file:
```
4
Lattice="8.722 0.002 0.001 8.308 2.654 0.001 8.308 1.295 2.316" Properties=species:S:1:pos:R:3 pbc="T T T"
Co 6.335 0.988 0.579
Cr 19.004 2.963 1.738
Re 25.310 3.946 2.315
Re 12.698 1.980 1.162
```

Output
Space group: No. 166
D(E_F) (states/eV/cell): 6.0

=====

(B)
First-principles (GGA-PBE) data for a geometry-optimized CrCoRe2 structure, as listed in Alexandria.

extended XYZ file:
```
4
Lattice="-1.229 -2.087 1.021 1.443 -1.590 -1.517 5.278 -0.430 5.472" Properties=species:S:1:pos:R:3 pbc="T T T"
Co 1.427 -1.946 1.120
Cr 4.066 -2.161 3.857
Re 0.044 -0.004 0.046
Re 2.595 -0.211 2.690
```

Output
Space group: No. 123
D(E_F) (states/eV/cell): 3.8

=====

Which structure is most stable, and how do the rest compare? From most to least stable: (B), (A).